# 1
Computed, not measured: crystalline TaCoGeW at its relaxed geometry at the GGA-PBE level of DFT.

total magnetic moment: 0.00 μB per atom
space group: No. 216
calculated total energy: -8.9907 eV/atom

Cell and atoms, written as CIF:
```
data_TaCoGeW
_cell_length_a 4.3851
_cell_length_b 4.3851
_cell_length_c 4.3851
_cell_angle_alpha 60.00
_cell_angle_beta 60.00
_cell_angle_gamma 60.00
_symmetry_space_group_name_H-M 'P 1'
_symmetry_Int_Tables_number 1
loop_
_symmetry_equiv_pos_as_xyz
'x,y,z'
loop_
_atom_site_label
_atom_site_type_symbol
_atom_site_fract_x
_atom_site_fract_y
_atom_site_fract_z
Co1 Co 0.7500 0.7500 0.7500
Ta1 Ta 0.5000 0.5000 0.5000
Ge1 Ge 0.0000 0.0000 0.0000
W1 W 0.2500 0.2500 0.2500
```



# 2
Computed, not measured: crystalline Pr3Ag2Hg3Au at its relaxed geometry at the GGA-PBE level of DFT.

total magnetic moment: 0.00 μB per atom
ΔE_f: -0.4372 eV per atom
space group: No. 189
calculated total energy: -3.1185 eV/atom

Cell and atoms, written as CIF:
```
data_Pr3Ag2Hg3Au
_cell_length_a 8.0974
_cell_length_b 8.0974
_cell_length_c 3.9626
_cell_angle_alpha 90.00
_cell_angle_beta 90.00
_cell_angle_gamma 120.00
_symmetry_space_group_name_H-M 'P 1'
_symmetry_Int_Tables_number 1
loop_
_symmetry_equiv_pos_as_xyz
'x,y,z'
loop_
_atom_site_label
_atom_site_type_symbol
_atom_site_fract_x
_atom_site_fract_y
_atom_site_fract_z
Ag1 Ag 0.6667 0.3333 0.5000
Ag2 Ag 0.3333 0.6667 0.5000
Hg1 Hg 0.7249 0.7249 0.5000
Hg2 Hg 0.2751 0.0000 0.5000
Hg3 Hg 0.0000 0.2751 0.5000
Pr1 Pr 0.0000 0.6099 0.0000
Pr2 Pr 0.3901 0.3901 0.0000
Pr3 Pr 0.6099 0.0000 0.0000
Au1 Au 0.0000 0.0000 0.0000
```



# 3
Computed, not measured: crystalline Ag2GeS3 at its relaxed geometry at the GGA-PBE level of DFT.

space group: No. 9
calculated total energy: -3.9987 eV/atom

Cell and atoms, written as CIF:
```
data_Ag2GeS3
_cell_length_a 7.0583
_cell_length_b 7.0583
_cell_length_c 6.7644
_cell_angle_alpha 97.95
_cell_angle_beta 97.95
_cell_angle_gamma 121.89
_symmetry_space_group_name_H-M 'P 1'
_symmetry_Int_Tables_number 1
loop_
_symmetry_equiv_pos_as_xyz
'x,y,z'
loop_
_atom_site_label
_atom_site_type_symbol
_atom_site_fract_x
_atom_site_fract_y
_atom_site_fract_z
S1 S 0.2724 0.7273 0.0330
S2 S 0.5542 0.4173 0.9794
S3 S 0.4173 0.5542 0.4794
S4 S 0.9380 0.1041 0.0298
S5 S 0.7273 0.2724 0.5330
S6 S 0.1041 0.9380 0.5298
Ge1 Ge 0.2745 0.4365 0.1143
Ge2 Ge 0.4365 0.2745 0.6143
Ag1 Ag 0.9734 0.7884 0.1343
Ag2 Ag 0.1487 0.6331 0.6442
Ag3 Ag 0.6331 0.1487 0.1442
Ag4 Ag 0.7884 0.9734 0.6343
```



# 4
Computed, not measured: crystalline SrMoAs at its relaxed geometry at the GGA-PBE level of DFT.

total magnetic moment: 1.66 μB per atom
space group: No. 216
calculated total energy: -4.5853 eV/atom

Cell and atoms, written as CIF:
```
data_SrMoAs
_cell_length_a 5.0775
_cell_length_b 5.0775
_cell_length_c 5.0775
_cell_angle_alpha 60.00
_cell_angle_beta 60.00
_cell_angle_gamma 60.00
_symmetry_space_group_name_H-M 'P 1'
_symmetry_Int_Tables_number 1
loop_
_symmetry_equiv_pos_as_xyz
'x,y,z'
loop_
_atom_site_label
_atom_site_type_symbol
_atom_site_fract_x
_atom_site_fract_y
_atom_site_fract_z
Mo1 Mo 0.7500 0.7500 0.7500
Sr1 Sr 0.0000 0.0000 0.0000
As1 As 0.2500 0.2500 0.2500
```



# 5
Computed, not measured: crystalline LaPr2Bi3 at its relaxed geometry at the GGA-PBE level of DFT.

total magnetic moment: 0.00 μB per atom
space group: No. 164
calculated total energy: -5.4422 eV/atom

Cell and atoms, written as CIF:
```
data_LaPr2Bi3
_cell_length_a 4.6340
_cell_length_b 4.6340
_cell_length_c 11.3914
_cell_angle_alpha 90.00
_cell_angle_beta 90.00
_cell_angle_gamma 120.00
_symmetry_space_group_name_H-M 'P 1'
_symmetry_Int_Tables_number 1
loop_
_symmetry_equiv_pos_as_xyz
'x,y,z'
loop_
_atom_site_label
_atom_site_type_symbol
_atom_site_fract_x
_atom_site_fract_y
_atom_site_fract_z
Bi1 Bi 0.3333 0.6667 0.3322
Bi2 Bi 0.0000 0.0000 0.0000
Bi3 Bi 0.6667 0.3333 0.6678
Pr1 Pr 0.3333 0.6667 0.8341
Pr2 Pr 0.6667 0.3333 0.1659
La1 La 0.0000 0.0000 0.5000
```



# 6
Computed, not measured: crystalline KPIrO at its relaxed geometry at the GGA-PBE level of DFT.

total magnetic moment: 0.00 μB per atom
space group: No. 129
calculated total energy: -5.4512 eV/atom

Cell and atoms, written as CIF:
```
data_KPIrO
_cell_length_a 3.9057
_cell_length_b 3.9057
_cell_length_c 10.6798
_cell_angle_alpha 90.00
_cell_angle_beta 90.00
_cell_angle_gamma 90.00
_symmetry_space_group_name_H-M 'P 1'
_symmetry_Int_Tables_number 1
loop_
_symmetry_equiv_pos_as_xyz
'x,y,z'
loop_
_atom_site_label
_atom_site_type_symbol
_atom_site_fract_x
_atom_site_fract_y
_atom_site_fract_z
Ir1 Ir 0.2500 0.7500 0.5000
Ir2 Ir 0.7500 0.2500 0.5000
P1 P 0.7500 0.7500 0.3779
P2 P 0.2500 0.2500 0.6221
O1 O 0.7500 0.2500 0.0000
O2 O 0.2500 0.7500 0.0000
K1 K 0.7500 0.7500 0.8433
K2 K 0.2500 0.2500 0.1567
```



- Which of these has the highest calculated total energy?
  Pr3Ag2Hg3Au